SbTe2I2 | the Alexandria database | PBE | relaxed; formation energy without anion corrections = 299 meV/atom; energy above the most stable polymorph in this dataset = 0.328 eV/atom; DFT total energy = -2.402 eV/atom
1.0
7.9476 0.0000 0.0000
0.0000 7.9476 0.0000
0.0000 0.0000 5.3666
Sb Te I
2 4 4
direct
0.0000 0.0000 0.0000
0.5000 0.5000 0.0000
0.1370 0.3630 0.0000
0.3630 0.8630 0.0000
0.6370 0.1370 0.0000
0.8630 0.6370 0.0000
0.1852 0.6852 0.5000
0.3148 0.1852 0.5000
0.6852 0.8148 0.5000
0.8148 0.3148 0.5000


CeHo2TmTl4 | the Alexandria database | PBE | relaxed; DFT total energy = -3.915 eV/atom; energy relative to the elements = -0.2872 eV/atom
1.0
2.6861 1.5508 8.8611
-2.6861 1.5508 8.8611
0.0000 -3.1016 8.8611
Ce Ho Tm Tl
1 2 1 4
direct
0.0000 0.0000 0.0000
0.2489 0.2489 0.2489
0.7511 0.7511 0.7511
0.5000 0.5000 0.5000
0.1266 0.1266 0.1266
0.3771 0.3771 0.3771
0.6229 0.6229 0.6229
0.8734 0.8734 0.8734


CdIn2Te | the Alexandria database | PBE | relaxed; formation energy without anion corrections = 54 meV/atom; energy above the most stable polymorph in this dataset = 0.174 eV/atom; DFT total energy = -2.330 eV/atom
1.0
1.9171 -2.6892 0.0000
1.9171 2.6892 0.0000
0.0000 0.0000 10.7047
Cd In Te
1 2 1
direct
0.0000 0.0000 0.0000
0.0000 0.0000 0.5010
0.5000 0.5000 0.7623
0.5000 0.5000 0.2425


HoTh6Tc3 | the Alexandria database | PBE | relaxed; DFT total energy = -8.044 eV/atom; energy relative to the elements = -0.0250 eV/atom
1.0
6.0533 -6.3454 0.0000
6.0533 6.3454 0.0000
0.0000 0.0000 6.9648
Ho Th Tc
2 12 6
direct
0.1978 0.8022 0.5000
0.8022 0.1978 0.0000
0.0272 0.5076 0.7854
0.1827 0.8173 0.0226
0.2182 0.2197 0.0079
0.2197 0.2182 0.5079
0.4380 0.5620 0.7739
0.4924 0.9728 0.7854
0.5076 0.0272 0.2854
0.5620 0.4380 0.2739
0.7803 0.7818 0.0079
0.7818 0.7803 0.5079
0.8173 0.1827 0.5226
0.9728 0.4924 0.2854
0.0032 0.9968 0.7631
0.2577 0.5085 0.1985
0.4915 0.7423 0.1985
0.5085 0.2577 0.6985
0.7423 0.4915 0.6985
0.9968 0.0032 0.2631